[1]
The following is a PBE calculation of a relaxed NaLiPd2 crystal, from Alexandria via LeMat-Bulk.

POSCAR file:
```
NaLiPd2
1.0
-0.307 0.384 3.864
-3.443 -1.818 -0.093
2.429 -8.929 3.044
Na Pd Li
2 4 2
Direct
0.000 0.000 0.000
0.750 0.250 0.500
0.613 0.125 0.250
0.137 0.625 0.250
0.375 0.387 0.750
0.875 0.863 0.750
0.500 0.500 0.000
0.250 0.750 0.500
```

Its excess energy over the best structure of this formula in the dataset is 92.6 kJ/mol of formula units. The calculated volume comes out at 17.7 A^3/atom. Its density of states at the Fermi level is 1.48 states/eV/f.u.

[2]
The following is a PBE calculation of a relaxed NaLiPd crystal, from Alexandria via LeMat-Bulk.

POSCAR file:
```
NaLiPd
1.0
-4.075 -1.219 1.631
-1.572 -4.202 -0.742
2.664 -1.898 5.160
Na Li Pd
2 2 2
Direct
0.666 0.167 0.379
0.334 0.833 0.621
0.002 0.499 0.813
0.998 0.501 0.187
0.667 0.167 0.913
0.333 0.833 0.087
```

Its excess energy over the best structure of this formula in the dataset is 8.4 kJ/mol of formula units. The calculated volume comes out at 18.3 A^3/atom. Its density of states at the Fermi level is 0.66 states/eV/f.u.

Copy entry 1 word for word.
The following is a PBE calculation of a relaxed NaLiPd2 crystal, from Alexandria via LeMat-Bulk.

POSCAR file:
```
NaLiPd2
1.0
-0.307 0.384 3.864
-3.443 -1.818 -0.093
2.429 -8.929 3.044
Na Pd Li
2 4 2
Direct
0.000 0.000 0.000
0.750 0.250 0.500
0.613 0.125 0.250
0.137 0.625 0.250
0.375 0.387 0.750
0.875 0.863 0.750
0.500 0.500 0.000
0.250 0.750 0.500
```

Its excess energy over the best structure of this formula in the dataset is 92.6 kJ/mol of formula units. The calculated volume comes out at 17.7 A^3/atom. Its density of states at the Fermi level is 1.48 states/eV/f.u.

- Which of these has the lowest excess energy over the best structure of this formula in the dataset?
  NaLiPd

- Among the records above, which one has the highest calculated volume?
  NaLiPd

What did the first record say?
The following is a PBE calculation of a relaxed NaLiPd2 crystal, from Alexandria via LeMat-Bulk.

POSCAR file:
```
NaLiPd2
1.0
-0.307 0.384 3.864
-3.443 -1.818 -0.093
2.429 -8.929 3.044
Na Pd Li
2 4 2
Direct
0.000 0.000 0.000
0.750 0.250 0.500
0.613 0.125 0.250
0.137 0.625 0.250
0.375 0.387 0.750
0.875 0.863 0.750
0.500 0.500 0.000
0.250 0.750 0.500
```

Its excess energy over the best structure of this formula in the dataset is 92.6 kJ/mol of formula units. The calculated volume comes out at 17.7 A^3/atom. Its density of states at the Fermi level is 1.48 states/eV/f.u.